No. 1
Material: La12PmZn6
Method: DFT, PBE-GGA
State: relaxed

## Properties
**Formation energy from the elements**: -0.092 eV/atom
**Magnetic moment**: 0.00 μB per cell
**Space-group type**: R-3
**Uncorrected energy**: -3.86 eV/atom

Cell lengths 8.241, 8.241, 8.241 Å; angles 87.43, 87.43, 87.43 degrees
Fractional positions:
1 La 0.047 0.929 0.315
2 La 0.071 0.685 0.953
3 La 0.106 0.473 0.336
4 La 0.315 0.047 0.929
5 La 0.336 0.106 0.473
6 La 0.473 0.336 0.106
7 La 0.527 0.664 0.894
8 La 0.664 0.894 0.527
9 La 0.685 0.953 0.071
10 La 0.894 0.527 0.664
11 La 0.929 0.315 0.047
12 La 0.953 0.071 0.685
13 Pm 0.500 0.500 0.500
14 Zn 0.242 0.757 0.610
15 Zn 0.243 0.390 0.758
16 Zn 0.390 0.758 0.243
17 Zn 0.610 0.242 0.757
18 Zn 0.757 0.610 0.242
19 Zn 0.758 0.243 0.390

***

No. 2
Material: MgCdRh2
Method: DFT, PBE-GGA
State: relaxed

## Properties
**Formation energy from the elements**: 0.190 eV/atom
**Magnetic moment**: 1.37 μB per cell
**Space-group type**: I-42d
**Uncorrected energy**: -4.11 eV/atom

Cell lengths 5.767, 5.767, 5.767 Å; angles 103.17, 103.17, 122.99 degrees
Fractional positions:
1 Mg 0.000 0.000 0.000
2 Mg 0.750 0.250 0.500
3 Cd 0.250 0.750 0.500
4 Cd 0.500 0.500 0.000
5 Rh 0.113 0.625 0.988
6 Rh 0.375 0.363 0.488
7 Rh 0.637 0.125 0.012
8 Rh 0.875 0.887 0.512

***

formation energy from the elements of number 1 (La12PmZn6)?
-0.092 eV/atom

***

Which formula does entry 1 have?
La12PmZn6

***

Among the records above, which one has the lowest formation energy from the elements?
La12PmZn6

***

What is the formation energy from the elements in the second record?
0.190 eV/atom